HoNi6BP: optimized geometry, PBE.

Results
ΔE_f in eV/atom: -0.200
Space-group type: Imma (74)
E in eV/atom: -5.905
Magnetization in Bohr magnetons per cell: 0.00

Geometry as POSCAR:
```
HoNi6BP
1.0
-3.887 4.974 4.099
2.785 -2.247 5.368
4.302 2.009 -5.268
Ni B P Ho
12 2 2 2
Direct
0.603 0.343 0.750
0.800 0.050 0.600
0.146 0.343 0.750
0.397 0.094 0.250
0.603 0.906 0.750
0.642 0.392 0.283
0.854 0.657 0.250
0.146 0.906 0.750
0.200 0.950 0.400
0.358 0.608 0.717
0.397 0.657 0.250
0.854 0.094 0.250
0.500 0.000 0.500
0.000 0.000 0.500
0.500 0.500 0.000
0.500 0.000 0.000
0.930 0.680 0.860
0.070 0.320 0.140
```